# NaTl3Cu2F9 PBE-GGA relaxed
data_NaTl3Cu2F9
_chemical_formula_sum 'Na1 Tl3 Cu2 F9'
_cell_length_a 5.9529
_cell_length_b 5.9529
_cell_length_c 7.3548
_cell_angle_alpha 90.00
_cell_angle_beta 90.00
_cell_angle_gamma 120.00
_space_group_name_H-M_alt 'P -3 m 1'
_space_group_IT_number 164
_space_group_name_Hall '-P 3 2"'
loop_
_atom_site_label
_atom_site_fract_x
_atom_site_fract_y
_atom_site_fract_z
Na1 0.0000 0.0000 0.0000
Tl1 0.0000 0.0000 0.5000
Tl2 0.3333 0.6667 0.1549
Cu1 0.3333 0.6667 0.6572
F1 0.0000 0.5000 0.5000
F2 0.1766 0.3531 0.8075
# **D(E_F)**: 8.47 states/eV per cell
# **Raw formation energy**: -1.796 eV/atom
# **Total DFT energy (no corrections)**: -4.03 eV/atom